1.
Computed, not measured: a relaxed structure of PuHfIn at the PBE level of DFT.

Results
DFT total energy	-8.860	eV per atom

Unit cell a=10.626 b=5.650 c=4.532 alpha=90.00 beta=102.21 gamma=90.00
Sites, in units of the cell vectors:
Pu1 0.005 0.195 0.426
Pu2 0.005 0.305 0.926
Pu3 0.995 0.695 0.074
Pu4 0.995 0.805 0.574
Hf1 0.223 0.518 0.612
Hf2 0.223 0.982 0.112
Hf3 0.777 0.018 0.888
Hf4 0.777 0.482 0.388
In1 0.408 0.018 0.704
In2 0.408 0.482 0.204
In3 0.592 0.518 0.796
In4 0.592 0.982 0.296

---

2.
Computed, not measured: a relaxed structure of CaIrRh2 at the PBE level of DFT.

Results
DFT total energy	-6.404	eV per atom

Unit cell a=4.874 b=4.874 c=5.116 alpha=99.34 beta=99.34 gamma=34.00
Sites, in units of the cell vectors:
Ca1 0.000 0.000 0.000
Ir1 0.500 0.500 0.500
Rh1 0.239 0.239 0.710
Rh2 0.761 0.761 0.290

---

3.
Computed, not measured: a relaxed structure of MnFe2Pb at the PBE level of DFT.

Results
DFT total energy	-7.012	eV per atom

Unit cell a=4.407 b=4.407 c=4.407 alpha=60.00 beta=60.00 gamma=60.00
Sites, in units of the cell vectors:
Mn1 0.000 0.000 0.000
Fe1 0.500 0.500 0.500
Fe2 0.750 0.750 0.750
Pb1 0.250 0.250 0.250

---

4.
Computed, not measured: a relaxed structure of La2MgSn2 at the PBE level of DFT.

Results
DFT total energy	-3.972	eV per atom

Unit cell a=7.696 b=7.696 c=7.696 alpha=141.65 beta=141.65 gamma=55.35
Sites, in units of the cell vectors:
La1 0.250 0.750 0.500
La2 0.750 0.250 0.500
Mg1 0.000 0.000 0.000
Sn1 0.399 0.399 0.000
Sn2 0.601 0.601 0.000

---

5.
Computed, not measured: a relaxed structure of NbRu3 at the PBE level of DFT.

Results
DFT total energy	-9.601	eV per atom

Unit cell a=5.605 b=5.605 c=4.382 alpha=90.00 beta=90.00 gamma=120.00
Sites, in units of the cell vectors:
Nb1 0.333 0.667 0.250
Nb2 0.667 0.333 0.750
Ru1 0.166 0.332 0.750
Ru2 0.166 0.834 0.750
Ru3 0.332 0.166 0.250
Ru4 0.668 0.834 0.750
Ru5 0.834 0.166 0.250
Ru6 0.834 0.668 0.250

---

6.
Computed, not measured: a relaxed structure of Sm2CuNi4Sb3 at the PBE level of DFT.

Results
ΔE_f (raw)	-586.3	meV/atom
DFT total energy	-5.489	eV per atom

Unit cell a=4.316 b=4.316 c=10.005 alpha=90.00 beta=90.00 gamma=90.00
Sites, in units of the cell vectors:
Sm1 0.000 0.500 0.249
Sm2 0.500 0.000 0.751
Cu1 0.000 0.000 0.500
Ni1 0.000 0.000 0.000
Ni2 0.000 0.500 0.619
Ni3 0.500 0.000 0.381
Ni4 0.500 0.500 0.000
Sb1 0.000 0.500 0.865
Sb2 0.500 0.000 0.135
Sb3 0.500 0.500 0.500

---

7.
Computed, not measured: a relaxed structure of Tl2As2Cl7 at the PBE level of DFT.

Results
ΔE_f (raw)	-698.6	meV/atom
DFT total energy	-3.149	eV per atom

Unit cell a=6.061 b=6.061 c=9.692 alpha=92.51 beta=92.51 gamma=98.40
Sites, in units of the cell vectors:
Tl1 0.249 0.751 0.000
Tl2 0.751 0.249 0.000
As1 0.185 0.185 0.524
As2 0.815 0.815 0.476
Cl1 0.002 0.367 0.673
Cl2 0.249 0.249 0.099
Cl3 0.367 0.002 0.673
Cl4 0.500 0.500 0.500
Cl5 0.633 0.998 0.327
Cl6 0.751 0.751 0.901
Cl7 0.998 0.633 0.327

---

8.
Computed, not measured: a relaxed structure of PtAuOF2 at the PBE level of DFT.

Results
ΔE_f (raw)	-232.7	meV/atom
DFT total energy	-3.837	eV per atom

Unit cell a=4.436 b=4.436 c=3.793 alpha=90.00 beta=90.00 gamma=90.00
Sites, in units of the cell vectors:
Pt1 0.000 0.000 0.000
Au1 0.500 0.500 0.500
O1 0.000 0.000 0.500
F1 0.000 0.500 0.000
F2 0.500 0.000 0.000